[1]
{
  "formula": "La3Ge4Pd4",
  "functional": "GGA-PBEsol",
  "state": "optimized geometry",
  "m_tot_mub_per_cell": 0.0,
  "energy_ha_per_atom": -0.23355,
  "e_form_ev_per_atom": -0.934,
  "cell": [[4.1537, 0.0000, 0.0000], [0.0000, 4.3540, 0.0000], [-2.0768, -2.1770, 12.5464]],
  "species": ["Ge", "Ge", "Ge", "Ge", "Pd", "Pd", "Pd", "Pd", "La", "La", "La"],
  "frac_coords": [[0.9504, 0.9504, 0.9008], [0.0496, 0.0496, 0.0992], [0.1961, 0.6961, 0.3922], [0.8039, 0.3039, 0.6078], [0.9029, 0.4029, 0.8059], [0.2498, 0.2498, 0.4996], [0.7502, 0.7502, 0.5004], [0.0971, 0.5971, 0.1941], [0.3523, 0.8523, 0.7045], [0.6477, 0.1477, 0.2955], [0.5000, 0.5000, 0.0000]]
}



[2]
{
  "formula": "LaGe2Pt2",
  "functional": "GGA-PBEsol",
  "state": "optimized geometry",
  "m_tot_mub_per_cell": 0.0,
  "energy_ha_per_atom": -0.25068,
  "e_form_ev_per_atom": -0.991,
  "cell": [[4.3773, 0.0000, 0.0000], [0.0000, 4.3772, 0.0000], [0.0000, 0.0000, 9.9351]],
  "species": ["La", "La", "Ge", "Ge", "Ge", "Ge", "Pt", "Pt", "Pt", "Pt"],
  "frac_coords": [[0.5000, 0.2468, 0.2542], [0.0000, 0.7468, 0.7458], [0.5000, 0.2468, 0.8709], [0.0000, 0.7468, 0.1291], [0.0000, 0.2468, 0.5000], [0.5000, 0.7468, 0.5000], [0.5000, 0.2468, 0.6229], [0.0000, 0.7468, 0.3771], [0.0000, 0.2468, 0.0000], [0.5000, 0.7468, 0.0000]]
}



[3]
{
  "formula": "LaGe12Pt4",
  "functional": "GGA-PBEsol",
  "state": "optimized geometry",
  "m_tot_mub_per_cell": 0.0,
  "energy_ha_per_atom": -0.21654,
  "e_form_ev_per_atom": -0.453,
  "cell": [[7.4561, 0.0000, 0.0000], [-2.4854, 7.0297, 0.0000], [-2.4854, -3.5148, 6.0879]],
  "species": ["La", "Ge", "Ge", "Ge", "Ge", "Ge", "Ge", "Ge", "Ge", "Ge", "Ge", "Ge", "Ge", "Pt", "Pt", "Pt", "Pt"],
  "frac_coords": [[0.0000, 0.0000, 0.0000], [0.6454, 0.4945, 0.8490], [0.3546, 0.5055, 0.1510], [0.3546, 0.2036, 0.8490], [0.6454, 0.7964, 0.1510], [0.7964, 0.1510, 0.6454], [0.2036, 0.8490, 0.3546], [0.5055, 0.1510, 0.3546], [0.4945, 0.8490, 0.6454], [0.1510, 0.3546, 0.5055], [0.8490, 0.6454, 0.4945], [0.1510, 0.6454, 0.7964], [0.8490, 0.3546, 0.2036], [0.0000, 0.5000, 0.0000], [0.5000, 0.5000, 0.5000], [0.0000, 0.0000, 0.5000], [0.5000, 0.0000, 0.0000]]
}



[4]
{
  "formula": "LaGePt",
  "functional": "GGA-PBEsol",
  "state": "optimized geometry",
  "m_tot_mub_per_cell": 0.0,
  "energy_ha_per_atom": -0.25137,
  "e_form_ev_per_atom": -1.090,
  "cell": [[-1.4834, -3.8238, 1.0916], [3.9765, -1.4194, 0.4314], [-1.2880, 4.6826, 6.4016]],
  "species": ["Ge", "Ge", "Pt", "Pt", "La", "La"],
  "frac_coords": [[0.3981, 0.8981, 0.7963], [0.1481, 0.1481, 0.2963], [0.3143, 0.3143, 0.6285], [0.5643, 0.0643, 0.1285], [0.7292, 0.7292, 0.4584], [0.9792, 0.4792, 0.9584]]
}